Below is a relaxed structure of AcTh2Np, with properties calculated at the PBE level.

Cell: 3.8151 3.8151 32.3524 Å, 90.00 90.00 120.00°
Space group R-3m (No. 166, hexagonal axes)
Asymmetric unit:
1 Ac 0.0000 0.0000 0.0000 [3 per cell]
2 Th 0.0000 0.0000 0.1152 [6 per cell]
3 Np 0.0000 0.0000 0.5000 [3 per cell]

Results
**Crystal system**: trigonal
**Total magnetic moment**: 0.000 μB/f.u.
**Formation enthalpy at 0 K**: 850 meV/atom
**Mass density**: 11.34 g cm⁻³
**VASP energy**: -0.262 Ha/atom